Record 1
# NaScTl2F6

A relaxed structure of NaScTl2F6 (PBEsol, the Alexandria database).

**Magnetization**: 0.00 μB/f.u.
**Crystal system**: cubic
**Formation energy from raw total energies**: -2.87 eV/atom

Cell: 6.045 6.045 6.045 Å, 60.00 60.00 60.00°
Fractional coordinates of all 10 atoms:
1 Na 0.500 0.500 0.500
2 Sc 0.000 0.000 0.000
3 Tl 0.250 0.250 0.250
4 Tl 0.750 0.750 0.750
5 F 0.764 0.236 0.236
6 F 0.236 0.764 0.764
7 F 0.764 0.236 0.764
8 F 0.236 0.764 0.236
9 F 0.764 0.764 0.236
10 F 0.236 0.236 0.764

---

Record 2
# MgAgC3

A relaxed structure of MgAgC3 (PBEsol, the Alexandria database).

**Magnetization**: 0.00 μB/f.u.
**Crystal system**: cubic
**Energy relative to the elements**: 2816.1 meV/atom

Cell: 4.102 4.102 4.102 Å, 90.00 90.00 90.00°
Fractional coordinates of all 5 atoms:
1 Mg 0.500 0.500 0.500
2 C 0.000 0.500 0.000
3 C 0.000 0.000 0.500
4 C 0.500 0.000 0.000
5 Ag 0.000 0.000 0.000

---

Record 3
# BaHgO2

A relaxed structure of BaHgO2 (PBEsol, the Alexandria database).

**Magnetization**: 0.00 μB/f.u.
**Crystal system**: trigonal
**Formation energy from raw total energies**: -1.58 eV/atom

Cell: 4.126 4.126 6.886 Å, 72.57 72.57 60.00°
Fractional coordinates of all 4 atoms:
1 Hg 0.000 0.000 0.000
2 O 0.102 0.102 0.694
3 O 0.898 0.898 0.306
4 Ba 0.500 0.500 0.500